1.
4
Lattice="-3.895 0.374 0.228 -0.245 -0.919 -2.676 -0.301 -6.432 5.420" Properties=species:S:1:pos:R:3 comment="AuSe3 | the Alexandria database | PBE-GGA | optimized geometry" raw_formation_energy_mev_per_atom=95.0 dft_energy_ev_per_atom=-3.34 m_tot_mub_per_fu=0.00 pbc="T T T"
Se -2.069 -1.469 0.750
Se -0.273 -3.676 1.372
Se -2.371 -5.508 2.222
Au 0.000 0.000 0.000

***

2.
4
Lattice="-2.281 1.545 0.854 0.045 -2.229 1.830 5.676 5.056 6.020" Properties=species:S:1:pos:R:3 comment="TlSi2Mo | the Alexandria database | PBE-GGA | optimized geometry" raw_formation_energy_mev_per_atom=326.9 dft_energy_ev_per_atom=-5.68 m_tot_mub_per_fu=0.00 relative_energy_ev_per_atom=0.173 pbc="T T T"
Si 5.337 4.754 5.660
Si 3.177 2.830 3.370
Tl 0.301 0.922 2.847
Mo 3.139 3.450 5.857

***

3.
18
Lattice="-3.024 2.345 7.196 -5.827 -3.169 -4.736 5.622 -5.818 0.987" Properties=species:S:1:pos:R:3 comment="Tm12TlCo5 | the Alexandria database | PBE-GGA | optimized geometry" formation_enthalpy_0k_ev_per_atom=-0.27 dft_energy_ev_per_atom=-5.35 m_tot_mub_per_fu=0.00 pbc="T T T"
Co -4.505 -3.889 -0.220
Co -3.329 -0.310 0.925
Co 0.000 0.000 0.000
Co 1.276 -2.754 3.667
Co -5.522 -0.514 1.535
Tm -1.360 0.587 5.922
Tm -1.752 -2.076 -0.325
Tm -1.870 -7.229 -2.475
Tm 0.213 -2.626 6.283
Tm 0.728 -3.883 1.318
Tm -1.478 -4.566 3.772
Tm -3.881 0.581 3.522
Tm -3.958 -2.759 2.129
Tm -3.443 -4.016 -2.836
Tm -2.340 -5.490 0.637
Tm -0.890 -1.152 2.810
Tm 0.651 -7.223 -0.075
Tl -0.103 -4.494 -1.875